No. 1
Dy3ZnCu8: optimized geometry, PBE.

Cell: 8.937 8.937 8.937 Å, 33.45 33.45 33.45°
Positions (direct):
Dy 0.000 0.000 0.000
Dy 0.127 0.127 0.127
Dy 0.612 0.612 0.612
Zn 0.490 0.490 0.490
Cu 0.054 0.054 0.564
Cu 0.054 0.564 0.054
Cu 0.061 0.559 0.559
Cu 0.307 0.307 0.307
Cu 0.559 0.061 0.559
Cu 0.559 0.559 0.061
Cu 0.564 0.054 0.054
Cu 0.809 0.809 0.809

Summary:
space-group type: R3m (160)
distance to the lowest polymorph of the same formula: 12 meV per atom

***

No. 2
Dy5ZnCu4: optimized geometry, PBE.

Cell: 3.482 3.482 17.485 Å, 90.00 90.00 90.00°
Positions (direct):
Dy 0.000 0.000 0.000
Dy 0.000 0.000 0.198
Dy 0.000 0.000 0.396
Dy 0.000 0.000 0.604
Dy 0.000 0.000 0.802
Zn 0.500 0.500 0.500
Cu 0.500 0.500 0.099
Cu 0.500 0.500 0.298
Cu 0.500 0.500 0.702
Cu 0.500 0.500 0.901

Summary:
space-group type: P4/mmm (123)

***

No. 3
Dy2ZnCu7: optimized geometry, PBE.

Cell: 3.958 3.958 10.416 Å, 90.00 90.00 90.00°
Positions (direct):
Dy 0.000 0.500 0.247
Dy 0.500 0.000 0.753
Zn 0.000 0.000 0.500
Cu 0.000 0.000 0.000
Cu 0.000 0.500 0.639
Cu 0.000 0.500 0.865
Cu 0.500 0.000 0.135
Cu 0.500 0.000 0.361
Cu 0.500 0.500 0.000
Cu 0.500 0.500 0.500

Summary:
space-group type: P-4m2 (115)

***

No. 4
Dy6Zn3Cu: optimized geometry, PBE.

Cell: 9.179 4.972 11.333 Å, 90.00 110.40 90.00°
Positions (direct):
Dy 0.018 0.250 0.398
Dy 0.156 0.750 0.186
Dy 0.231 0.250 0.010
Dy 0.370 0.750 0.850
Dy 0.371 0.250 0.637
Dy 0.385 0.250 0.355
Dy 0.615 0.750 0.645
Dy 0.629 0.750 0.363
Dy 0.630 0.250 0.150
Dy 0.769 0.750 0.990
Dy 0.844 0.250 0.814
Dy 0.982 0.750 0.602
Zn 0.039 0.750 0.882
Zn 0.119 0.250 0.732
Zn 0.261 0.750 0.475
Zn 0.739 0.250 0.525
Zn 0.881 0.750 0.268
Zn 0.961 0.250 0.118
Cu 0.423 0.750 0.118
Cu 0.577 0.250 0.882

Summary:
space-group type: P2_1/m (11)

***

No. 5
DyZn4Cu2: optimized geometry, PBE.

Cell: 5.302 5.302 5.302 Å, 123.57 103.34 102.49°
Positions (direct):
Dy 0.000 0.000 0.000
Zn 0.001 0.307 0.694
Zn 0.387 0.693 0.694
Zn 0.613 0.307 0.306
Zn 0.999 0.693 0.306
Cu 0.500 0.249 0.749
Cu 0.500 0.751 0.251

Summary:
space-group type: Immm (71)
distance to the lowest polymorph of the same formula: 0 meV per atom

***

No. 6
Dy3Zn2Cu2: optimized geometry, PBE.

Cell: 9.065 9.065 9.065 Å, 29.98 29.98 29.98°
Positions (direct):
Dy 0.000 0.000 0.000
Dy 0.215 0.215 0.215
Dy 0.785 0.785 0.785
Zn 0.402 0.402 0.402
Zn 0.598 0.598 0.598
Cu 0.103 0.103 0.103
Cu 0.897 0.897 0.897

Summary:
space-group type: R-3m (166)

***

No. 7
Dy5Zn2Cu12: optimized geometry, PBE.

Cell: 8.079 8.079 6.497 Å, 92.09 92.09 49.45°
Positions (direct):
Dy 0.000 0.000 0.000
Dy 0.243 0.243 0.938
Dy 0.304 0.304 0.455
Dy 0.696 0.696 0.545
Dy 0.757 0.757 0.062
Zn 0.288 0.712 0.500
Zn 0.712 0.288 0.500
Cu 0.050 0.675 0.743
Cu 0.108 0.108 0.593
Cu 0.210 0.590 0.150
Cu 0.325 0.950 0.257
Cu 0.410 0.790 0.850
Cu 0.447 0.447 0.826
Cu 0.553 0.553 0.174
Cu 0.590 0.210 0.150
Cu 0.675 0.050 0.743
Cu 0.790 0.410 0.850
Cu 0.892 0.892 0.407
Cu 0.950 0.325 0.257

Summary:
space-group type: C2/m (12)

***

No. 8
Dy6ZnCu2: optimized geometry, PBE.

Cell: 8.405 8.405 8.405 Å, 111.55 109.97 106.93°
Positions (direct):
Dy 0.054 0.244 0.810
Dy 0.179 0.275 0.454
Dy 0.179 0.725 0.905
Dy 0.324 0.023 0.699
Dy 0.324 0.625 0.301
Dy 0.434 0.244 0.190
Dy 0.566 0.756 0.810
Dy 0.676 0.375 0.699
Dy 0.676 0.977 0.301
Dy 0.821 0.275 0.095
Dy 0.821 0.725 0.546
Dy 0.946 0.756 0.190
Zn 0.000 0.000 0.000
Zn 0.500 0.500 0.000
Cu 0.120 0.620 0.500
Cu 0.349 0.000 0.349
Cu 0.651 0.000 0.651
Cu 0.880 0.380 0.500

Summary:
space-group type: Immm (71)

***

No. 9
Dy2Zn6Cu9: optimized geometry, PBE.

Cell: 5.121 5.121 12.353 Å, 90.00 90.00 120.00°
Positions (direct):
Dy 0.000 0.000 0.168
Dy 0.000 0.000 0.832
Zn 0.333 0.667 0.165
Zn 0.333 0.667 0.500
Zn 0.333 0.667 0.835
Zn 0.667 0.333 0.165
Zn 0.667 0.333 0.500
Zn 0.667 0.333 0.835
Cu 0.000 0.500 0.000
Cu 0.000 0.500 0.332
Cu 0.000 0.500 0.668
Cu 0.500 0.000 0.000
Cu 0.500 0.000 0.332
Cu 0.500 0.000 0.668
Cu 0.500 0.500 0.000
Cu 0.500 0.500 0.332
Cu 0.500 0.500 0.668

Summary:
space-group type: P6/mmm (191)

***

No. 10
Dy3Zn8Cu: optimized geometry, PBE.

Cell: 9.295 9.295 9.295 Å, 33.49 33.49 33.49°
Positions (direct):
Dy 0.000 0.000 0.000
Dy 0.127 0.127 0.127
Dy 0.613 0.613 0.613
Zn 0.060 0.060 0.558
Zn 0.060 0.558 0.060
Zn 0.062 0.561 0.561
Zn 0.310 0.310 0.310
Zn 0.558 0.060 0.060
Zn 0.561 0.062 0.561
Zn 0.561 0.561 0.062
Zn 0.811 0.811 0.811
Cu 0.492 0.492 0.492

Summary:
space-group type: R3m (160)

***

| no. | DOS at the Fermi energy (states/eV/atom) | final energy (eV per formula unit) | calculated volume (A^3/atom) |
| --- | --- | --- | --- |
| 1 | 0.66 | -50.2 | 16.093 |
| 2 | 0.47 | -43.4 | 21.196 |
| 3 | 0.74 | -40.6 | 16.321 |
| 4 | 0.86 | -37.5 | 24.237 |
| 5 | 0.28 | -19.5 | 15.633 |
| 6 | 1.00 | -25.1 | 23.538 |
| 7 | 0.48 | -77.8 | 16.947 |
| 8 | 1.04 | -38.6 | 25.347 |
| 9 | 0.32 | -55.3 | 16.501 |
| 10 | 0.41 | -31.1 | 18.144 |